## LaHo4Ru2 (PBE)

Data for crystalline LaHo4Ru2 at its relaxed geometry.

abc: 7.6718 6.4390 8.1626
angles: 90.00 113.63 90.00
Closest atoms and distances in Å follow each position.
Fractional positions:
La 0.0217 0.2500 0.1720  1 Ru 2.71
La 0.9783 0.7500 0.8280  1 Ru 2.71
Ho 0.2487 0.5013 0.5864  4 Ru 2.90-3.01, 2 Ho 3.20-3.24
Ho 0.2487 0.9987 0.5864  4 Ru 2.90-3.01, 2 Ho 3.20-3.24
Ho 0.3244 0.7500 0.2601  2 Ru 2.72-2.94
Ho 0.3814 0.2500 0.0148  2 Ru 2.78-2.83
Ho 0.6186 0.7500 0.9852  2 Ru 2.78-2.83
Ho 0.6756 0.2500 0.7399  2 Ru 2.72-2.94
Ho 0.7513 0.0013 0.4136  4 Ru 2.90-3.01, 2 Ho 3.20-3.24
Ho 0.7513 0.4987 0.4136  4 Ru 2.90-3.01, 2 Ho 3.20-3.24
Ru 0.0220 0.2500 0.7220  6 Ho 2.72-3.00
Ru 0.4037 0.2500 0.3632  1 La 2.71, 6 Ho 2.78-3.01
Ru 0.5963 0.7500 0.6368  1 La 2.71, 6 Ho 2.78-3.01
Ru 0.9780 0.7500 0.2780  6 Ho 2.72-3.00

Formation energy from the elements (eV/atom): -0.2630
Total moment (μB/atom): 0.000